Density functional theory data (GGA-PBE) for a relaxed structure of SrLaRe2.

Cell lengths 4.057, 3.163, 9.051 Å; angles 71.23, 90.00, 90.00 degrees
Sites, in units of the cell vectors:
La 0.500 0.795 0.841
Re 0.000 0.993 0.071
Re 0.500 0.268 0.161
Sr 0.000 0.444 0.426

Total magnetic moment: 0.000 μB per atom
Raw total energy: -7.43 eV per atom
Formation energy from the elements: 43.5 kJ per mole of atoms



Density functional theory data (GGA-PBE) for a relaxed structure of Pm7Nd3Tm2.

Cell lengths 3.615, 5.937, 19.154 Å; angles 93.15, 90.00, 90.00 degrees
Sites, in units of the cell vectors:
Pm 0.500 0.743 0.465
Pm 0.500 0.257 0.535
Pm 0.000 0.687 0.146
Pm 0.000 0.000 0.000
Pm 0.000 0.313 0.854
Pm 0.500 0.811 0.818
Pm 0.500 0.189 0.182
Nd 0.500 0.500 0.000
Nd 0.000 0.220 0.366
Nd 0.000 0.780 0.634
Tm 0.500 0.711 0.295
Tm 0.500 0.289 0.705

Total magnetic moment: 0.000 μB per atom
Raw total energy: -4.62 eV per atom
Formation energy from the elements: 8.6 kJ per mole of atoms